Record 1
VASP calculation (GGA-PBE) on La3In3Hg2 after structural relaxation.

Values from the calculation:
The calculation puts the density at 8.32 g/cm3.

Geometry as CIF:
```
data_La3In3Hg2
_chemical_formula_sum 'La12 In12 Hg8'
_cell_length_a 4.932
_cell_length_b 11.591
_cell_length_c 16.232
_cell_angle_alpha 90.00
_cell_angle_beta 90.00
_cell_angle_gamma 90.00
_space_group_name_H-M_alt 'C m c m'
_space_group_IT_number 63
_space_group_name_Hall '-C 2c 2'
loop_
_atom_site_label
_atom_site_fract_x
_atom_site_fract_y
_atom_site_fract_z
La1 0.000 0.092 0.108
La2 0.000 0.352 0.250
In1 0.000 0.363 0.750
In2 0.000 0.387 0.040
Hg1 0.000 0.206 0.605
```

Record 2
VASP calculation (GGA-PBE) on LaInHg after structural relaxation.

Values from the calculation:
The calculation puts the density at 9.06 g/cm3.

Geometry as CIF:
```
data_LaInHg
_chemical_formula_sum 'La1 In1 Hg1'
_cell_length_a 5.0366
_cell_length_b 5.0366
_cell_length_c 3.7904
_cell_angle_alpha 90.00
_cell_angle_beta 90.00
_cell_angle_gamma 120.00
_space_group_name_H-M_alt 'P -6 m 2'
_space_group_IT_number 187
_space_group_name_Hall 'P -6 2'
loop_
_atom_site_label
_atom_site_fract_x
_atom_site_fract_y
_atom_site_fract_z
La1 0.0000 0.0000 0.0000
In1 0.3333 0.6667 0.5000
Hg1 0.6667 0.3333 0.5000
```

Record 3
VASP calculation (GGA-PBE) on LaIn6Hg12 after structural relaxation.

Values from the calculation:
The calculation puts the density at 10.71 g/cm3.

Geometry as CIF:
```
data_LaIn6Hg12
_chemical_formula_sum 'La3 In18 Hg36'
_cell_length_a 14.3963
_cell_length_b 14.3963
_cell_length_c 8.3857
_cell_angle_alpha 90.00
_cell_angle_beta 90.00
_cell_angle_gamma 120.00
_space_group_name_H-M_alt 'R -3'
_space_group_IT_number 148
_space_group_name_Hall '-R 3'
loop_
_atom_site_label
_atom_site_fract_x
_atom_site_fract_y
_atom_site_fract_z
La1 0.0000 0.0000 0.0000
In1 0.0309 0.7601 0.3388
Hg1 0.0165 0.8738 0.6706
Hg2 0.0666 0.4990 0.6700
```

Record 4
VASP calculation (GGA-PBE) on LaInHg after structural relaxation.

Values from the calculation:
The calculation puts the density at 8.98 g/cm3.

Geometry as CIF:
```
data_LaInHg
_chemical_formula_sum 'La4 In4 Hg4'
_cell_length_a 6.704
_cell_length_b 5.339
_cell_length_c 9.392
_cell_angle_alpha 90.00
_cell_angle_beta 90.00
_cell_angle_gamma 90.00
_space_group_name_H-M_alt 'P n m a'
_space_group_IT_number 62
loop_
_space_group_symop_operation_xyz
'x,y,z'
'-x,-y,-z'
'-x+1/2,-y,z+1/2'
'x+1/2,y,-z+1/2'
'x+1/2,-y+1/2,-z+1/2'
'-x+1/2,y+1/2,z+1/2'
'-x,y+1/2,-z'
'x,-y+1/2,z'
loop_
_atom_site_label
_atom_site_fract_x
_atom_site_fract_y
_atom_site_fract_z
La1 0.227 0.250 0.082
In1 0.008 0.250 0.740
Hg1 0.217 0.250 0.414
```

Record 5
VASP calculation (GGA-PBE) on LaIn2Hg2 after structural relaxation.

Values from the calculation:
Its energy relative to the lowest polymorph listed for this composition is 0.000 eV/atom. The calculation puts the density at 9.48 g/cm3.

Geometry as CIF:
```
data_LaIn2Hg2
_chemical_formula_sum 'La2 In4 Hg4'
_cell_length_a 6.004
_cell_length_b 6.133
_cell_length_c 8.308
_cell_angle_alpha 75.38
_cell_angle_beta 76.31
_cell_angle_gamma 67.27
_space_group_name_H-M_alt 'P -1'
_space_group_IT_number 2
loop_
_space_group_symop_operation_xyz
'x,y,z'
'-x,-y,-z'
loop_
_atom_site_label
_atom_site_fract_x
_atom_site_fract_y
_atom_site_fract_z
La1 0.193 0.188 0.204
In1 0.172 0.628 0.407
In2 0.307 0.312 0.778
Hg1 0.251 0.742 0.006
Hg2 0.346 0.859 0.605
```

Record 6
VASP calculation (GGA-PBE) on La3InHg after structural relaxation.

Values from the calculation:
Its energy relative to the lowest polymorph listed for this composition is 0.505 eV/atom. The calculation puts the density at 5.91 g/cm3.

Geometry as CIF:
```
data_La3InHg
_chemical_formula_sum 'La3 In1 Hg1'
_cell_length_a 5.904
_cell_length_b 5.904
_cell_length_c 5.904
_cell_angle_alpha 90.00
_cell_angle_beta 90.00
_cell_angle_gamma 90.00
_space_group_name_H-M_alt 'P m -3 m'
_space_group_IT_number 221
_space_group_name_Hall '-P 4 2 3'
loop_
_atom_site_label
_atom_site_fract_x
_atom_site_fract_y
_atom_site_fract_z
La1 0.000 0.000 0.500
In1 0.500 0.500 0.500
Hg1 0.000 0.000 0.000
```

What formation energy from the elements values result from the calculations? In sequence: -508, -505, -84, -527, -315, 120 meV/atom.
What electronic total energy values result from the calculations? In sequence: -3.458, -3.161, -1.399, -3.183, -2.516, -3.444 eV per atom.